DFT (PBE) results for a relaxed Ba12LiAg5 crystal.

SG = No. 71
Energy of formation from the pure elements = -2.5 eV per formula unit
Size of the total moment = 0.00 μB/cell
Raw total energy = -41.7 eV/f.u.
D(E_F) = 1.07 states/eV per atom

a b c (Å): 10.2389 10.2389 10.2389
angles (deg): 104.66 113.61 110.27
Last column: nearest neighbours and their distance in Å.
Fractional coordinates of all 18 atoms:
Ag: 0.0000 0.0000 0.0000  8 Ba 3.61-3.78
Ag: 0.3603 0.3603 0.0000  1 Ag 3.27, 6 Ba 3.46-3.49
Ba: 0.4588 0.1777 0.2811  4 Ag 3.54-3.81
Ba: 0.3051 0.3262 0.6313  3 Ag 3.41-3.49
Ba: 0.5412 0.8223 0.7189  4 Ag 3.54-3.81
Ba: 0.6949 0.3262 0.0211  3 Ag 3.41-3.49
Ag: 0.6397 0.6397 0.0000  1 Ag 3.27, 6 Ba 3.46-3.49
Ba: 0.1914 0.9650 0.7736  2 Ag 3.46-3.61
Ba: 0.8086 0.0350 0.2264  2 Ag 3.46-3.61
Ba: 0.8966 0.1777 0.7189  4 Ag 3.54-3.81
Ba: 0.6949 0.6738 0.3687  3 Ag 3.41-3.49
Ba: 0.3051 0.6738 0.9789  3 Ag 3.41-3.49
Ba: 0.1034 0.8223 0.2811  4 Ag 3.54-3.81
Ag: 0.5000 0.1173 0.6173  1 Ag 2.94
Li: 0.0000 0.5000 0.5000  12 Ba 4.05-4.50
Ba: 0.1914 0.4178 0.2264  2 Ag 3.46-3.61
Ag: 0.5000 0.8827 0.3827  1 Ag 2.94
Ba: 0.8086 0.5822 0.7736  2 Ag 3.46-3.61